Record 1
Density functional theory data (PBE-GGA) for a relaxed YMgCl2 crystal.

Calculated values
Energy relative to the lowest polymorph listed for this composition in eV per atom: 0.237
DFT total energy in eV/atom: -3.957

Cell: 3.4585 4.4719 6.1394 Å, 90.00 90.00 90.00°
Last column: nearest neighbours and their distance in Å.
Space group Pmmm (No. 47)
One atom of each set of equivalent atoms:
Y (0.0000, 0.0000, 0.0000) x1  4 Cl 2.83
Mg (0.5000, 0.0000, 0.5000) x1  4 Cl 2.83
Cl (0.0000, 0.5000, 0.5000) x1  4 Mg 2.83
Cl (0.5000, 0.5000, 0.0000) x1  4 Y 2.83


Record 2
Density functional theory data (PBE-GGA) for a relaxed YTe2Pt crystal.

Calculated values
Energy relative to the lowest polymorph listed for this composition in eV per atom: 0.505
DFT total energy in eV/atom: -5.118

Cell: 3.7972 3.7972 6.5892 Å, 90.00 90.00 90.00°
Last column: nearest neighbours and their distance in Å.
Space group P4/mmm (No. 123)
One atom of each set of equivalent atoms:
Y (0.0000, 0.0000, 0.0000) x1  8 Te 3.18, 2 Pt 3.29
Te (0.5000, 0.5000, 0.2591) x2  4 Pt 3.12, 2 Te 3.17-3.41, 4 Y 3.18
Pt (0.0000, 0.0000, 0.5000) x1  8 Te 3.12, 2 Y 3.29


Record 3
Density functional theory data (PBE-GGA) for a relaxed Nd6BiS4 crystal.

Calculated values
DFT total energy in eV/atom: -6.099

Cell: 4.1884 13.4337 20.8844 Å, 90.00 90.00 90.00°
Last column: nearest neighbours and their distance in Å.
Space group Cmcm (No. 63)
One atom of each set of equivalent atoms:
Nd (0.0000, 0.0000, 0.0000) x4  6 S 2.85-2.91
Nd (0.0000, 0.1583, 0.2500) x4  2 S 2.80
Nd (0.0000, 0.2717, 0.5844) x8  5 S 2.84-2.92
Nd (0.0000, 0.4621, 0.1561) x8  3 S 2.80-2.85
Bi (0.0000, 0.1587, 0.7500) x4  6 Nd 3.23-3.30
S (0.0000, 0.0955, 0.1221) x8  6 Nd 2.80-2.86
S (0.0000, 0.3618, 0.0386) x8  6 Nd 2.80-2.92


Record 4
Density functional theory data (PBE-GGA) for a relaxed Nd4AsSe2Br crystal.

Calculated values
DFT total energy in eV/atom: -5.658

Cell: 7.3497 4.2745 7.4483 Å, 90.00 109.51 90.00°
Last column: nearest neighbours and their distance in Å.
Space group P2/m (No. 10)
One atom of each set of equivalent atoms:
Nd (0.2296, 0.0000, 0.2207) x2  3 Se 2.88-3.09, 1 As 2.97, 2 Br 3.18
Nd (0.2468, 0.5000, 0.7710) x2  3 Se 2.88-3.08, 2 As 2.97, 1 Br 3.17
As (0.5000, 0.0000, 0.0000) x1  6 Nd 2.97
Se (0.0000, 0.0000, 0.5000) x1  6 Nd 3.08-3.09
Se (0.0000, 0.5000, 0.0000) x1  6 Nd 2.88
Br (0.5000, 0.5000, 0.5000) x1  6 Nd 3.17-3.18


Record 5
Density functional theory data (PBE-GGA) for a relaxed ZrCd3Au2 crystal.

Calculated values
Formation enthalpy at 0 K in eV per formula unit: -1.26
DFT total energy in eV/atom: -3.185

Cell: 4.2570 4.5242 6.6625 Å, 90.11 108.57 90.00°
Last column: nearest neighbours and their distance in Å.
Space group P-1 (No. 2)
One atom of each set of equivalent atoms:
Zr (0.0000, 0.0000, 0.0000) x1  4 Au 2.96, 8 Cd 3.11
Cd (0.1686, 0.5006, 0.3380) x2  4 Cd 2.95-3.02, 6 Au 3.10-3.11, 2 Zr 3.11
Cd (0.5000, 0.5000, 0.0000) x1  4 Cd 3.01-3.02, 4 Au 3.06, 4 Zr 3.11
Au (0.3374, 0.9995, 0.6741) x2  2 Zr 2.96, 2 Au 3.06, 8 Cd 3.06-3.11


Record 6
Density functional theory data (PBE-GGA) for a relaxed LaPmDy6 crystal.

Calculated values
Formation enthalpy at 0 K in eV per formula unit: 0.20
Energy relative to the lowest polymorph listed for this composition in eV per atom: 0.000
DFT total energy in eV/atom: -4.636

Cell: 5.0688 5.0688 10.1340 Å, 90.00 90.00 90.00°
Last column: nearest neighbours and their distance in Å.
Space group P4/mmm (No. 123)
One atom of each set of equivalent atoms:
La (0.0000, 0.0000, 0.0000) x1  12 Dy 3.58-3.60
Pm (0.0000, 0.0000, 0.5000) x1  12 Dy 3.57-3.58
Dy (0.0000, 0.5000, 0.2525) x4  8 Dy 3.57-3.60, 2 Pm 3.57, 2 La 3.60
Dy (0.5000, 0.5000, 0.0000) x1  4 La 3.58, 8 Dy 3.60
Dy (0.5000, 0.5000, 0.5000) x1  8 Dy 3.57, 4 Pm 3.58


- Which formula does entry 4 have?
  Nd4AsSe2Br